Entry 1:
# LaPuSn6 (PBE, relaxed)
data_LaPuSn6
_chemical_formula_sum 'La1 Pu1 Sn6'
_space_group_name_H-M_alt 'P 4/m m m'
_space_group_IT_number 123
_space_group_name_Hall '-P 4 2'
_cell_length_a 4.747
_cell_length_b 4.747
_cell_length_c 9.426
_cell_angle_alpha 90.00
_cell_angle_beta 90.00
_cell_angle_gamma 90.00
loop_
_atom_site_label
_atom_site_type_symbol
_atom_site_fract_x
_atom_site_fract_y
_atom_site_fract_z
La1 La 0.000 0.000 0.000
Pu1 Pu 0.000 0.000 0.500
Sn1 Sn 0.000 0.500 0.258
Sn2 Sn 0.500 0.500 0.000
Sn3 Sn 0.500 0.500 0.500
# Calculated formation energy: -0.4733 eV/atom
# Final energy: -5.88 eV per atom
# Volume: 26.6 A^3/atom
# DOS at the Fermi energy: 1.39 states/eV/atom



Entry 2:
# CsHg2Se2 (PBE, relaxed)
data_CsHg2Se2
_chemical_formula_sum 'Cs2 Hg4 Se4'
_space_group_name_H-M_alt 'P 4/m b m'
_space_group_IT_number 127
_space_group_name_Hall '-P 4 2ab'
_cell_length_a 8.810
_cell_length_b 8.810
_cell_length_c 3.815
_cell_angle_alpha 90.00
_cell_angle_beta 90.00
_cell_angle_gamma 90.00
loop_
_atom_site_label
_atom_site_type_symbol
_atom_site_fract_x
_atom_site_fract_y
_atom_site_fract_z
Cs1 Cs 0.000 0.000 0.000
Hg1 Hg 0.134 0.366 0.500
Se1 Se 0.149 0.649 0.000
# Formation energy without anion corrections: -0.16 eV/atom
# Energy relative to the lowest polymorph listed for this composition: 299 meV/atom
# Final energy: -1.84 eV per atom
# Volume: 29.6 A^3/atom
# DOS at the Fermi energy: 0.38 states/eV/atom



Entry 3:
# Dy2Ag2Hg3 (PBE, relaxed)
data_Dy2Ag2Hg3
_chemical_formula_sum 'Dy4 Ag4 Hg6'
_space_group_name_H-M_alt 'C 1 2/m 1'
_space_group_IT_number 12
_cell_length_a 10.184
_cell_length_b 4.631
_cell_length_c 7.139
_cell_angle_alpha 90.00
_cell_angle_beta 105.68
_cell_angle_gamma 90.00
loop_
_space_group_symop_operation_xyz
'x,y,z'
'-x,-y,-z'
'-x,y,-z'
'x,-y,z'
'x+1/2,y+1/2,z'
'-x+1/2,-y+1/2,-z'
'-x+1/2,y+1/2,-z'
'x+1/2,-y+1/2,z'
loop_
_atom_site_label
_atom_site_type_symbol
_atom_site_fract_x
_atom_site_fract_y
_atom_site_fract_z
Dy1 Dy 0.121 0.000 0.251
Ag1 Ag 0.115 0.500 0.928
Hg1 Hg 0.000 0.500 0.500
Hg2 Hg 0.180 0.000 0.704
# Calculated formation energy: -0.2957 eV/atom
# Final energy: -2.55 eV per atom
# Volume: 23.2 A^3/atom
# DOS at the Fermi energy: 0.50 states/eV/atom